(1)
Mn3S4 | PBE | relaxed

abc: 6.9547 6.9547 6.9547
angles: 60.01 60.01 60.01
Last column: magnetic moment on the atom in μB.
Fractional coordinates of all 14 atoms:
Mn (0.5000, 0.0000, 0.5000)  2.40
Mn (0.0000, 0.5000, 0.5000)  2.40
Mn (0.5000, 0.5000, 0.0000)  2.40
Mn (0.5000, 0.5000, 0.5000)  2.40
Mn (0.8750, 0.8750, 0.8750)  3.76
Mn (0.1250, 0.1250, 0.1250)  3.76
S (0.7162, 0.2612, 0.2612)  -0.05
S (0.7388, 0.7388, 0.2838)  -0.05
S (0.7388, 0.7388, 0.7388)  -0.05
S (0.2612, 0.2612, 0.7162)  -0.05
S (0.7388, 0.2838, 0.7388)  -0.05
S (0.2612, 0.2612, 0.2612)  -0.05
S (0.2838, 0.7388, 0.7388)  -0.05
S (0.2612, 0.7162, 0.2612)  -0.05

Space group: Fd-3m (227)
ΔE_f (raw) in meV/atom: -533.9


(2)
SrPrP2 | PBE | relaxed

abc: 4.2627 4.2627 7.5277
angles: 73.55 73.55 60.00
Fractional coordinates of all 4 atoms:
Pr (0.0000, 0.0000, 0.0000)
Sr (0.5000, 0.5000, 0.5000)
P (0.2560, 0.2560, 0.2320)
P (0.7440, 0.7440, 0.7680)

Space group: R-3m (166)
Calculated formation energy in meV per atom: -1113
Distance to the lowest polymorph of the same formula in kJ per mole of atoms: 0.0


> Number 1 is which compound?

Mn3S4